[1]
Crystalline NdSmTlCu at its relaxed geometry, computed with PBE.

Lattice parameters (Å, degrees): 7.5187 7.5187 7.5187 90.00 90.00 90.00
With the nearest neighbours (Å) after each atom.
Space group F-43m (No. 216)
Inequivalent atoms, fractional coordinates:
Nd 0.0000 0.0000 0.0000  4 Tl 3.26, 4 Cu 3.26
Sm 0.0000 0.0000 0.5000  4 Tl 3.26, 4 Cu 3.26
Tl 0.2500 0.2500 0.7500  4 Nd 3.26, 4 Sm 3.26
Cu 0.2500 0.2500 0.2500  4 Nd 3.26, 4 Sm 3.26

Properties
Formation energy in eV per atom: -0.214
Raw total energy in eV/cell: -67.2

=====

[2]
Crystalline NdSmTmCu at its relaxed geometry, computed with PBE.

Lattice parameters (Å, degrees): 3.5391 3.5391 8.7251 90.00 90.00 90.00
With the nearest neighbours (Å) after each atom.
Space group P4mm (No. 99)
Inequivalent atoms, fractional coordinates:
Nd 0.0000 0.0000 0.0000  4 Nd 3.54, 4 Tm 3.63, 4 Sm 3.70
Sm 0.5000 0.5000 0.6876  4 Cu 3.11, 1 Tm 3.37
Tm 0.5000 0.5000 0.3018  4 Cu 2.93
Cu 0.0000 0.0000 0.4768  4 Tm 2.93, 4 Sm 3.11

Properties
Formation energy in eV per atom: -0.095
Raw total energy in eV/cell: -18.4

=====

[3]
Crystalline Nd5Cu2Sn at its relaxed geometry, computed with PBE.

Lattice parameters (Å, degrees): 8.1911 8.1911 13.3300 90.00 90.00 90.00
With the nearest neighbours (Å) after each atom.
Space group I4/mcm (No. 140)
Inequivalent atoms, fractional coordinates:
Nd 0.0000 0.0000 0.0000  4 Cu 3.22, 2 Sn 3.33
Nd 0.1556 0.3444 0.1429  3 Cu 3.01-3.15
Cu 0.1278 0.3722 0.5000  1 Cu 2.96, 8 Nd 3.01-3.22
Sn 0.0000 0.0000 0.2500  10 Nd 3.33-3.41

Properties
Formation energy in eV per atom: -0.291
Raw total energy in eV/cell: -153.4

=====

[4]
Crystalline Nd3Cu4Sn4 at its relaxed geometry, computed with PBE.

Lattice parameters (Å, degrees): 4.5918 7.0354 15.0901 90.00 90.00 90.00
With the nearest neighbours (Å) after each atom.
Space group Immm (No. 71)
Inequivalent atoms, fractional coordinates:
Nd 0.0000 0.0000 0.0000  6 Sn 3.11-3.27
Nd 0.0000 0.5000 0.1329  6 Sn 3.23-3.36, 6 Cu 3.24-3.27
Cu 0.0000 0.3164 0.3318  1 Cu 2.58, 4 Sn 2.67-2.83
Sn 0.0000 0.0000 0.2165  6 Cu 2.73-2.83
Sn 0.0000 0.2009 0.5000  2 Cu 2.67, 1 Sn 2.83

Properties
Formation energy in eV per atom: -0.535
E above lowest polymorph in eV per formula unit: 0.00
Raw total energy in eV/cell: -105.2

=====

[5]
Crystalline NdCu6Sn6 at its relaxed geometry, computed with PBE.

Lattice parameters (Å, degrees): 5.6510 9.0612 9.7660 90.00 90.00 90.00
With the nearest neighbours (Å) after each atom.
Space group Immm (No. 71)
Inequivalent atoms, fractional coordinates:
Nd 0.0000 0.0000 0.0000  8 Sn 3.09-3.28
Cu 0.0000 0.2526 0.5000  6 Sn 2.78-2.95, 4 Cu 2.82
Cu 0.2500 0.2500 0.2500  6 Sn 2.79-2.94, 4 Cu 2.82-2.83
Sn 0.0000 0.0000 0.3358  6 Cu 2.79-2.80
Sn 0.0000 0.3406 0.0000  1 Sn 2.89, 6 Cu 2.94-2.95, 1 Nd 3.09
Sn 0.0000 0.5000 0.3324  6 Cu 2.78-2.79

Properties
Formation energy in eV per atom: -0.099
Raw total energy in eV/cell: -109.3

=====

[6]
Crystalline Nd2Cu3Sn3 at its relaxed geometry, computed with PBE.

Lattice parameters (Å, degrees): 3.0802 3.0802 22.2549 90.00 90.00 90.00
With the nearest neighbours (Å) after each atom.
Space group P4/mmm (No. 123)
Inequivalent atoms, fractional coordinates:
Nd 0.0000 0.0000 0.2452  1 Cu 2.84, 4 Nd 3.08, 1 Sn 3.14
Cu 0.0000 0.0000 0.1177  1 Sn 2.62, 1 Nd 2.84
Cu 0.0000 0.0000 0.5000  2 Sn 2.54
Sn 0.0000 0.0000 0.0000  2 Cu 2.62
Sn 0.0000 0.0000 0.3861  1 Cu 2.54

Properties
Formation energy in eV per atom: 0.559
Raw total energy in eV/cell: -29.4

=====

[7]
Crystalline NdCu9Sn4 at its relaxed geometry, computed with PBE.

Lattice parameters (Å, degrees): 8.6620 8.6620 12.4493 90.00 90.00 90.00
With the nearest neighbours (Å) after each atom.
Space group I4/mcm (No. 140)
Inequivalent atoms, fractional coordinates:
Nd 0.0000 0.0000 0.2500  8 Sn 3.51, 16 Cu 3.59-3.65
Cu 0.0000 0.5000 0.0000  8 Cu 2.53-2.64, 4 Sn 2.78
Cu 0.0543 0.1995 0.0000  5 Cu 2.53-2.77, 4 Sn 2.76-2.80
Cu 0.1081 0.3919 0.1734  6 Cu 2.53-2.77, 4 Sn 2.59-2.69
Sn 0.1858 0.3142 0.3722  9 Cu 2.59-2.80

Properties
Formation energy in eV per atom: -0.155
Raw total energy in eV/cell: -239.2

=====

[8]
Crystalline Nd2Cu2Sn3 at its relaxed geometry, computed with PBE.

Lattice parameters (Å, degrees): 10.7731 4.3037 7.5454 90.00 110.77 90.00
With the nearest neighbours (Å) after each atom.
Space group C2/m (No. 12)
Inequivalent atoms, fractional coordinates:
Nd 0.1479 0.0000 0.2940  4 Cu 3.12-3.38, 4 Sn 3.32-3.37
Cu 0.1539 0.0000 0.7447  5 Sn 2.71-2.94
Sn 0.0000 0.5000 0.5000  4 Cu 2.94, 2 Sn 3.16
Sn 0.1190 0.5000 0.9473  3 Cu 2.71-2.74, 1 Sn 2.94

Properties
Formation energy in eV per atom: -0.454
E above lowest polymorph in eV per formula unit: 0.55
Raw total energy in eV/cell: -65.8

=====

[9]
Crystalline Nd3Cu4Sn at its relaxed geometry, computed with PBE.

Lattice parameters (Å, degrees): 4.6880 4.8556 17.0002 90.00 90.00 90.00
With the nearest neighbours (Å) after each atom.
Space group Immm (No. 71)
Inequivalent atoms, fractional coordinates:
Nd 0.0000 0.0000 0.0000  4 Sn 3.37, 8 Cu 3.47
Nd 0.0000 0.5000 0.2035  6 Cu 2.92-3.00
Cu 0.0000 0.2599 0.3664  2 Cu 2.33-2.52, 1 Sn 2.60
Sn 0.0000 0.0000 0.5000  4 Cu 2.60

Properties
Formation energy in eV per atom: -0.105
Raw total energy in eV/cell: -71.1

=====

[10]
Crystalline Nd4CuSn3 at its relaxed geometry, computed with PBE.

Lattice parameters (Å, degrees): 4.4348 4.5259 11.6175 90.00 90.00 90.00
With the nearest neighbours (Å) after each atom.
Space group Pmm2 (No. 25)
Inequivalent atoms, fractional coordinates:
Nd 0.0000 0.0000 0.0000  6 Sn 3.24-3.57, 1 Cu 3.28
Nd 0.0000 0.5000 0.4820  5 Sn 3.23-3.25, 2 Cu 3.24
Nd 0.5000 0.0000 0.7130  7 Sn 3.22-3.49
Nd 0.5000 0.5000 0.2177  3 Sn 3.21-3.33, 4 Cu 3.26
Cu 0.0000 0.0000 0.2825  2 Sn 2.79
Sn 0.0000 0.5000 0.7620  2 Sn 3.04, 5 Nd 3.22-3.25
Sn 0.5000 0.0000 0.4282  2 Cu 2.79
Sn 0.5000 0.5000 0.9415  2 Sn 3.04, 5 Nd 3.21-3.24

Properties
Formation energy in eV per atom: -0.596
Raw total energy in eV/cell: -39.9

=====

[11]
Crystalline Nd12Cu6Sn at its relaxed geometry, computed with PBE.

Lattice parameters (Å, degrees): 10.2134 10.2134 10.2134 90.00 90.00 90.00
With the nearest neighbours (Å) after each atom.
Space group Im-3 (No. 204)
Inequivalent atoms, fractional coordinates:
Nd 0.0000 0.2992 0.1874  3 Cu 2.83-3.07
Cu 0.0000 0.1212 0.5000  1 Cu 2.48
Sn 0.0000 0.0000 0.0000  12 Nd 3.61

Properties
Formation energy in eV per atom: -0.158
Raw total energy in eV/cell: -177.6

=====

[12]
Crystalline NdCu4Sn4 at its relaxed geometry, computed with PBE.

Lattice parameters (Å, degrees): 6.4174 6.4174 9.0980 90.00 90.00 90.00
With the nearest neighbours (Å) after each atom.
Space group P4_2/nmc (No. 137, origin choice 2)
Inequivalent atoms, fractional coordinates:
Nd 0.2500 0.7500 0.2500  4 Sn 3.23, 8 Cu 3.53
Cu 0.0567 0.2500 0.1630  1 Cu 2.48, 3 Sn 2.59-2.76
Sn 0.0101 0.2500 0.4454  5 Cu 2.59-2.80

Properties
Formation energy in eV per atom: -0.084
Raw total energy in eV/cell: -75.8

=====

Number 1: M_tot 1.486 μB/cell. Number 2: M_tot 0.000 μB/cell. Number 3: M_tot 0.000 μB/cell. Number 4: M_tot 0.000 μB/cell. Number 5: M_tot 0.000 μB/cell. Number 6: M_tot 0.000 μB/cell. Number 7: M_tot 0.000 μB/cell. Number 8: M_tot 0.000 μB/cell. Number 9: M_tot 0.000 μB/cell. Number 10: M_tot 0.025 μB/cell. Number 11: M_tot 0.000 μB/cell. Number 12: M_tot 0.000 μB/cell.